La2B10W | PBE-GGA | relaxed

a = 4.2152 Å, b = 5.8946 Å, c = 11.7600 Å
α = 90.00°, β = 90.00°, γ = 90.00°
Last column: nearest neighbours and their distance in Å.
Element x y z (fractional)
B1 0.2977 0.7296 0.3799  4 B 1.71-1.80
B2 0.0000 0.0685 0.1938  4 B 1.71-1.80
B3 0.2977 0.7704 0.8799  4 B 1.71-1.80
B4 0.0000 0.5685 0.3062  4 B 1.71-1.80
La1 0.5000 0.7077 0.1397  20 B 2.95-3.20, 2 W 3.18
B5 0.0000 0.6173 0.9569  4 B 1.72-1.82
B6 0.2977 0.2704 0.6201  4 B 1.71-1.80
B7 0.0000 0.4315 0.6938  4 B 1.71-1.80
B8 0.2977 0.2296 0.1201  4 B 1.71-1.80
B9 0.0000 0.1173 0.5431  4 B 1.72-1.82
W1 0.0000 0.0000 0.0000  8 B 2.31-2.32
B10 0.7023 0.2704 0.6201  4 B 1.71-1.80
La2 0.5000 0.2077 0.3603  20 B 2.95-3.20, 2 W 3.18
B11 0.0000 0.3745 0.1977  5 B 1.71-1.82
B12 0.7023 0.7704 0.8799  4 B 1.71-1.80
B13 0.0000 0.8827 0.4569  4 B 1.72-1.82
La3 0.5000 0.2923 0.8603  20 B 2.95-3.20, 2 W 3.18
B14 0.0000 0.6255 0.8023  5 B 1.71-1.82
B15 0.0000 0.3827 0.0431  4 B 1.72-1.82
B16 0.0000 0.9315 0.8062  4 B 1.71-1.80
B17 0.0000 0.8745 0.3023  5 B 1.71-1.82
B18 0.7023 0.2296 0.1201  4 B 1.71-1.80
W2 0.0000 0.5000 0.5000  8 B 2.31-2.32
B19 0.7023 0.7296 0.3799  4 B 1.71-1.80
La4 0.5000 0.7923 0.6397  20 B 2.95-3.20, 2 W 3.18
B20 0.0000 0.1255 0.6977  5 B 1.71-1.82

Properties
Energy of formation from the pure elements   -0.372 eV per atom
Crystal system   orthorhombic
Fermi-level density of states   0.392 states/eV per atom
SG   Pbam, No. 55